Record 1
VASP calculation (PBE) on an optimized crystal structure of InNiMo2.

a b c (Å): 5.754 5.754 5.754
angles (deg): 101.49 101.49 126.98
Positions (direct):
In1 0.000 0.000 0.000
In2 0.750 0.250 0.500
Ni1 0.250 0.750 0.500
Ni2 0.500 0.500 0.000
Mo1 0.165 0.125 0.540
Mo2 0.375 0.835 0.960
Mo3 0.585 0.625 0.460
Mo4 0.875 0.415 0.040

Results
SG = No. 122
E_form = 0.6652 eV/atom

Record 2
VASP calculation (PBE) on an optimized crystal structure of Nd14DyTh.

a b c (Å): 7.322 7.322 10.412
angles (deg): 90.00 90.00 90.00
Positions (direct):
Nd1 0.000 0.000 0.000
Nd2 0.000 0.500 0.000
Nd3 0.000 0.500 0.500
Nd4 0.248 0.248 0.253
Nd5 0.248 0.248 0.747
Nd6 0.248 0.752 0.253
Nd7 0.248 0.752 0.747
Nd8 0.500 0.000 0.000
Nd9 0.500 0.000 0.500
Nd10 0.500 0.500 0.000
Nd11 0.752 0.248 0.253
Nd12 0.752 0.248 0.747
Nd13 0.752 0.752 0.253
Nd14 0.752 0.752 0.747
Dy1 0.500 0.500 0.500
Th1 0.000 0.000 0.500

Results
SG = No. 123
E_form = 0.0227 eV/atom

Record 3
VASP calculation (PBE) on an optimized crystal structure of Tm3Co3Si8.

a b c (Å): 7.591 7.591 8.277
angles (deg): 118.01 118.01 30.71
Positions (direct):
Tm1 0.000 0.000 0.000
Tm2 0.293 0.293 0.339
Tm3 0.707 0.707 0.661
Co1 0.000 0.000 0.500
Co2 0.323 0.323 0.989
Co3 0.677 0.677 0.011
Si1 0.112 0.112 0.385
Si2 0.143 0.143 0.853
Si3 0.363 0.363 0.754
Si4 0.479 0.479 0.290
Si5 0.521 0.521 0.710
Si6 0.637 0.637 0.246
Si7 0.857 0.857 0.147
Si8 0.888 0.888 0.615

Results
Energy relative to the elements, uncorrected = -7.326 eV/f.u.
SG = No. 12

Record 4
VASP calculation (PBE) on an optimized crystal structure of Te5Ru.

a b c (Å): 5.677 5.677 7.805
angles (deg): 90.00 90.00 120.00
Positions (direct):
Te1 0.000 0.500 0.000
Te2 0.333 0.667 0.500
Te3 0.500 0.000 0.000
Te4 0.500 0.500 0.000
Te5 0.667 0.333 0.500
Ru1 0.000 0.000 0.500

Results
Energy relative to the elements, uncorrected = 5.764 eV/f.u.
SG = No. 191

Record 5
VASP calculation (PBE) on an optimized crystal structure of Al2In2Ga.

a b c (Å): 8.610 8.610 3.057
angles (deg): 90.00 90.00 90.00
Positions (direct):
Al1 0.126 0.374 0.000
Al2 0.374 0.874 0.000
Al3 0.626 0.126 0.000
Al4 0.874 0.626 0.000
In1 0.171 0.671 0.500
In2 0.329 0.171 0.500
In3 0.671 0.829 0.500
In4 0.829 0.329 0.500
Ga1 0.000 0.000 0.500
Ga2 0.500 0.500 0.500

Results
SG = No. 127
E_form = 0.2304 eV/atom

Record 6
VASP calculation (PBE) on an optimized crystal structure of Tc2HgGe2.

a b c (Å): 6.862 6.862 6.862
angles (deg): 149.04 149.04 44.36
Positions (direct):
Tc1 0.106 0.106 0.000
Tc2 0.894 0.894 0.000
Hg1 0.500 0.500 0.000
Ge1 0.250 0.750 0.500
Ge2 0.750 0.250 0.500

Results
SG = No. 139
E_form = 0.2526 eV/atom

Record 7
VASP calculation (PBE) on an optimized crystal structure of Pr4Sn8Au.

a b c (Å): 4.458 4.533 18.040
angles (deg): 90.00 90.00 90.00
Positions (direct):
Pr1 0.000 0.000 0.000
Pr2 0.000 0.500 0.477
Pr3 0.500 0.000 0.788
Pr4 0.500 0.500 0.282
Sn1 0.000 0.000 0.320
Sn2 0.000 0.000 0.619
Sn3 0.000 0.500 0.139
Sn4 0.000 0.500 0.863
Sn5 0.500 0.000 0.144
Sn6 0.500 0.000 0.431
Sn7 0.500 0.500 0.617
Sn8 0.500 0.500 0.970
Au1 0.000 0.500 0.715

Results
SG = No. 25
E_form = -0.6196 eV/atom

Record 8
VASP calculation (PBE) on an optimized crystal structure of Pm9Dy11Ho4.

a b c (Å): 15.248 15.248 3.695
angles (deg): 90.00 90.00 113.32
Positions (direct):
Pm1 0.000 0.000 0.000
Pm2 0.130 0.664 0.000
Pm3 0.286 0.434 0.000
Pm4 0.336 0.870 0.000
Pm5 0.434 0.286 0.000
Pm6 0.566 0.714 0.000
Pm7 0.664 0.130 0.000
Pm8 0.714 0.566 0.000
Pm9 0.870 0.336 0.000
Dy1 0.094 0.455 0.500
Dy2 0.132 0.868 0.500
Dy3 0.210 0.210 0.500
Dy4 0.339 0.661 0.500
Dy5 0.455 0.094 0.500
Dy6 0.500 0.500 0.500
Dy7 0.545 0.906 0.500
Dy8 0.661 0.339 0.500
Dy9 0.790 0.790 0.500
Dy10 0.868 0.132 0.500
Dy11 0.906 0.545 0.500
Ho1 0.055 0.256 0.000
Ho2 0.256 0.055 0.000
Ho3 0.744 0.945 0.000
Ho4 0.945 0.744 0.000

Results
SG = No. 65
E_form = 0.0517 eV/atom

Record 9
VASP calculation (PBE) on an optimized crystal structure of SrCd2CuO4.

a b c (Å): 5.977 5.977 11.663
angles (deg): 90.00 90.00 147.22
Positions (direct):
Sr1 0.120 0.880 0.750
Sr2 0.880 0.120 0.250
Cd1 0.370 0.630 0.543
Cd2 0.370 0.630 0.957
Cd3 0.630 0.370 0.043
Cd4 0.630 0.370 0.457
Cu1 0.143 0.857 0.250
Cu2 0.857 0.143 0.750
O1 0.000 0.000 0.000
O2 0.000 0.000 0.500
O3 0.263 0.737 0.125
O4 0.263 0.737 0.375
O5 0.450 0.550 0.750
O6 0.550 0.450 0.250
O7 0.737 0.263 0.625
O8 0.737 0.263 0.875

Results
Energy relative to the elements, uncorrected = -9.910 eV/f.u.
SG = No. 63

Record 10
VASP calculation (PBE) on an optimized crystal structure of Ac5Ho2Pb4.

a b c (Å): 12.093 12.093 8.254
angles (deg): 109.92 109.92 22.50
Positions (direct):
Ac1 0.000 0.000 0.000
Ac2 0.340 0.340 0.071
Ac3 0.340 0.340 0.608
Ac4 0.660 0.660 0.392
Ac5 0.660 0.660 0.929
Ho1 0.073 0.073 0.574
Ho2 0.927 0.927 0.426
Pb1 0.212 0.212 0.713
Pb2 0.500 0.500 0.301
Pb3 0.500 0.500 0.699
Pb4 0.788 0.788 0.287

Results
SG = No. 12
E_form = -0.2899 eV/atom

Record 11
VASP calculation (PBE) on an optimized crystal structure of Y2HfTe.

a b c (Å): 6.854 6.854 6.854
angles (deg): 101.75 101.75 126.35
Positions (direct):
Y1 0.096 0.625 0.971
Y2 0.375 0.346 0.471
Y3 0.654 0.125 0.029
Y4 0.875 0.904 0.529
Hf1 0.250 0.750 0.500
Hf2 0.500 0.500 0.000
Te1 0.000 0.000 0.000
Te2 0.750 0.250 0.500

Results
Energy relative to the elements, uncorrected = 0.086 eV/f.u.
SG = No. 122

Record 12
VASP calculation (PBE) on an optimized crystal structure of Cs2SmIrO6.

a b c (Å): 6.692 6.692 5.915
angles (deg): 90.00 90.00 120.00
Positions (direct):
Cs1 0.333 0.667 0.133
Cs2 0.667 0.333 0.867
Sm1 0.000 0.000 0.500
Ir1 0.000 0.000 0.000
O1 0.132 0.264 0.799
O2 0.132 0.868 0.799
O3 0.264 0.132 0.201
O4 0.736 0.868 0.799
O5 0.868 0.132 0.201
O6 0.868 0.736 0.201

Results
Energy relative to the elements, uncorrected = -15.355 eV/f.u.
SG = No. 164

| no. | raw total energy (eV/cell) |
| --- | --- |
| 1 | -55.04 |
| 2 | -78.41 |
| 3 | -85.44 |
| 4 | -19.22 |
| 5 | -29.67 |
| 6 | -29.01 |
| 7 | -62.47 |
| 8 | -110.45 |
| 9 | -74.70 |
| 10 | -47.72 |
| 11 | -51.87 |
| 12 | -60.39 |